YBiP2Cl | GGA-PBE | relaxed

```
data_YBiP2Cl
_cell_length_a 5.383
_cell_length_b 5.383
_cell_length_c 5.007
_cell_angle_alpha 90.00
_cell_angle_beta 90.00
_cell_angle_gamma 90.00
_space_group_name_H-M_alt 'P 4/m m m'
_space_group_IT_number 123
_space_group_name_Hall '-P 4 2'
loop_
_atom_site_label
_atom_site_fract_x
_atom_site_fract_y
_atom_site_fract_z
Y1 0.000 0.000 0.000
Bi1 0.500 0.500 0.500
P1 0.000 0.500 0.000
Cl1 0.000 0.000 0.500
```

Properties
crystal system: tetragonal
energy relative to the lowest polymorph listed for this composition: 0 meV/atom